Record 1
## Pm6DyHo2Sc (PBE-GGA)

Data for an optimized crystal structure of Pm6DyHo2Sc.

The structure in extended XYZ format:
```
20
Lattice="-8.463 -1.175 3.934 -3.180 -0.582 -8.278 3.313 -7.391 3.657" Properties=species:S:1:pos:R:3 pbc="T T T"
Pm -1.626 -7.154 3.038
Pm -6.703 -1.993 -3.726
Pm -7.182 -5.531 -3.456
Pm -1.147 -3.617 2.768
Pm -0.127 -7.904 -0.233
Pm -1.599 -4.151 -3.647
Pm 1.713 -5.793 1.998
Pm -4.389 -6.250 0.971
Pm -10.042 -3.354 -2.686
Pm -8.202 -1.243 -0.455
Pm -3.940 -2.897 -1.658
Pm -6.730 -4.997 2.959
Dy -5.127 -1.053 -6.985
Dy -3.203 -8.095 6.297
Ho -4.047 -6.141 -2.258
Ho -4.283 -3.007 1.571
Ho -0.693 -1.746 -1.576
Ho -7.637 -7.401 0.888
Sc -1.526 -4.828 -0.367
Sc -6.803 -4.319 -0.321
```

Values from the calculation:
Its space group is C2/c (15). Its formation energy is 127 meV per atom. The crystal system is monoclinic. The value obtained for the density is 7.14 g/cm³.


Record 2
## TaHg4O2 (PBE-GGA)

Data for an optimized crystal structure of TaHg4O2.

The structure in extended XYZ format:
```
7
Lattice="5.416 0.000 0.000 0.000 5.416 0.000 2.708 2.708 6.107" Properties=species:S:1:pos:R:3 pbc="T T T"
Hg 0.000 2.708 0.000
Hg 2.708 2.708 3.379
Hg 2.708 0.000 0.000
Hg 5.416 5.416 2.728
Ta 0.000 0.000 0.000
O 2.708 2.708 1.319
O 5.416 5.416 4.788
```

Values from the calculation:
Its space group is I4/mmm (139). The crystal system is tetragonal. The value obtained for the density is 9.41 g/cm³. The uncorrected formation energy comes out at 0.6969 eV/atom.


Record 3
## NaTiO3 (PBE-GGA)

Data for an optimized crystal structure of NaTiO3.

The structure in extended XYZ format:
```
5
Lattice="-1.667 -2.312 2.523 1.737 -2.990 -1.591 2.948 0.455 2.364" Properties=species:S:1:pos:R:3 pbc="T T T"
Ti 1.509 -2.423 1.648
Na 0.000 0.000 0.000
O 1.474 0.227 1.182
O -0.834 -1.156 1.261
O 0.869 -1.495 -0.796
```

Values from the calculation:
Its space group is Pm-3m (221). The crystal system is cubic. The value obtained for the density is 3.58 g/cm³. The uncorrected formation energy comes out at -0.1069 eV/atom.


Number 1: V 32.7 A^3/atom. Number 2: V 25.6 A^3/atom. Number 3: V 11.0 A^3/atom.